Entry 1:
Th2ZrSe2Br4: relaxed, PBE-GGA.

a b c (Å): 3.782 3.782 23.304
angles (deg): 90.00 90.00 120.00
Last column: magnetic moment on the atom in μB.
Atoms (fractional coordinates):
1 Br 0.000 0.000 0.553  0.00
2 Br 0.667 0.333 0.899  0.00
3 Br 0.667 0.333 0.081  0.00
4 Br 0.000 0.000 0.734  0.00
5 Th 0.667 0.333 0.643  0.00
6 Th 0.000 0.000 0.990  0.00
7 Zr 0.000 0.000 0.326  0.08
8 Se 0.667 0.333 0.254  0.00
9 Se 0.667 0.333 0.398  -0.01

Output
- Total magnetic moment: 0.1 μB per cell
- Formation energy without anion corrections: -1348 meV/atom
- Electronic total energy: -49.2 eV per cell

---

Entry 2:
Pr2Sm2Tl3: relaxed, PBE-GGA.

a b c (Å): 3.629 3.614 16.605
angles (deg): 90.00 83.73 90.00
Atoms (fractional coordinates):
1 Tl 0.000 0.000 0.000
2 Tl 0.138 0.000 0.724
3 Tl 0.862 0.000 0.276
4 Sm 0.298 0.500 0.403
5 Sm 0.702 0.500 0.597
6 Pr 0.569 0.500 0.862
7 Pr 0.431 0.500 0.138

Output
- Total magnetic moment: 0.0 μB per cell
- Formation enthalpy at 0 K: -0.254 eV per atom
- Electronic total energy: -27.9 eV per cell

---

Entry 3:
SnPb: relaxed, PBE-GGA.

a b c (Å): 6.057 7.848 10.518
angles (deg): 90.00 90.00 90.00
Atoms (fractional coordinates):
1 Pb 0.257 0.254 0.920
2 Pb 0.039 0.663 0.049
3 Pb 0.743 0.754 0.580
4 Pb 0.243 0.746 0.420
5 Pb 0.539 0.837 0.951
6 Pb 0.757 0.246 0.080
7 Pb 0.961 0.163 0.451
8 Pb 0.461 0.337 0.549
9 Sn 0.232 0.018 0.183
10 Sn 0.217 0.599 0.738
11 Sn 0.283 0.401 0.238
12 Sn 0.732 0.482 0.817
13 Sn 0.717 0.901 0.262
14 Sn 0.768 0.518 0.317
15 Sn 0.268 0.982 0.683
16 Sn 0.783 0.099 0.762

Output
- Total magnetic moment: 0.0 μB per cell
- Formation enthalpy at 0 K: 0.062 eV per atom
- Electronic total energy: -60.7 eV per cell

---

Entry 4:
Pr6Zn5Rh: relaxed, PBE-GGA.

a b c (Å): 5.226 7.385 9.024
angles (deg): 65.84 73.24 90.00
Atoms (fractional coordinates):
1 Pr 0.839 0.082 0.322
2 Pr 0.500 0.759 0.000
3 Pr 0.839 0.596 0.322
4 Pr 0.161 0.918 0.678
5 Pr 0.500 0.241 0.000
6 Pr 0.161 0.404 0.678
7 Zn 0.000 0.500 0.000
8 Zn 0.668 0.668 0.663
9 Zn 0.332 0.332 0.337
10 Zn 0.678 0.179 0.643
11 Zn 0.322 0.821 0.357
12 Rh 0.000 0.000 0.000

Output
- Total magnetic moment: 0.0 μB per cell
- Formation enthalpy at 0 K: -0.357 eV per atom
- Electronic total energy: -46.7 eV per cell

---

Entry 5:
AlV2Rh2: relaxed, PBE-GGA.

a b c (Å): 7.239 7.239 2.806
angles (deg): 90.00 90.00 90.00
Atoms (fractional coordinates):
1 V 0.665 0.835 0.500
2 V 0.335 0.165 0.500
3 V 0.165 0.665 0.500
4 V 0.835 0.335 0.500
5 Rh 0.368 0.868 0.000
6 Rh 0.632 0.132 0.000
7 Rh 0.132 0.368 0.000
8 Rh 0.868 0.632 0.000
9 Al 0.000 0.000 0.000
10 Al 0.500 0.500 0.000

Output
- Total magnetic moment: 0.0 μB per cell
- Formation enthalpy at 0 K: -0.326 eV per atom
- Electronic total energy: -76.6 eV per cell

---

Entry 6:
Ga2Cu7SnAu2: relaxed, PBE-GGA.

a b c (Å): 3.812 3.812 13.509
angles (deg): 74.02 74.02 91.04
Atoms (fractional coordinates):
1 Cu 0.158 0.657 0.842
2 Cu 0.254 0.254 0.500
3 Cu 0.657 0.158 0.842
4 Cu 0.746 0.746 0.500
5 Cu 0.343 0.842 0.158
6 Cu 0.500 0.500 0.000
7 Cu 0.842 0.343 0.158
8 Ga 0.327 0.327 0.674
9 Ga 0.673 0.673 0.326
10 Sn 0.000 0.000 0.000
11 Au 0.185 0.185 0.315
12 Au 0.815 0.815 0.685

Output
- Total magnetic moment: 0.0 μB per cell
- Formation enthalpy at 0 K: 0.009 eV per atom
- Electronic total energy: -45.2 eV per cell

---

Which value of electronic total energy does entry 1 give?
-49.2 eV per cell

---

Look up the total magnetic moment of the second one.
0.0 μB per cell

---

Among the records above, which one has the lowest electronic total energy?
AlV2Rh2